First-principles (PBE) data for a relaxed Ru2PbSe crystal, as listed in Alexandria.

Lattice parameters (Å, degrees): 3.2252 3.2252 8.4039 90.00 90.00 121.30
Atoms (fractional coordinates):
Se 0.5000 0.5000 0.2500
Ru 0.0000 0.0000 0.4708
Ru 0.0000 0.0000 0.0292
Pb 0.5000 0.5000 0.7500

Results
Formation energy without anion corrections in eV/f.u.: 2.71
DOS(E_F) in states/eV/cell: 4.9
DFT total energy in eV per cell: -23.04
Offset from the most stable computed form in meV/atom: 445.2
V in A^3/atom: 18.67